Ca3Ni3As4O16 | GGA-PBEsol | optimized geometry

Cell lengths 8.9457, 4.9557, 16.7924 Å; angles 90.00, 115.03, 90.00 degrees
Last column: nearest neighbours and their distance in Å.
Element x y z (fractional)
1 Ca 0.0000 0.0000 0.0000  6 O 2.27-2.42
2 Ca 0.0000 0.5000 0.5000  6 O 2.27-2.42
3 Ca 0.3062 0.0295 0.2713  4 O 2.29-2.39
4 Ca 0.3062 0.4705 0.7713  4 O 2.29-2.39
5 Ca 0.6938 0.5295 0.2287  4 O 2.29-2.39
6 Ca 0.6938 0.9705 0.7287  4 O 2.29-2.39
7 Ni 0.2078 0.5359 0.3776  5 O 1.95-2.09
8 Ni 0.2078 0.9641 0.8776  5 O 1.95-2.09
9 Ni 0.5000 0.0000 0.5000  4 O 1.85-1.87
10 Ni 0.5000 0.5000 0.0000  4 O 1.85-1.87
11 Ni 0.7922 0.0359 0.1224  5 O 1.95-2.09
12 Ni 0.7922 0.4641 0.6224  5 O 1.95-2.09
13 As 0.0463 0.5244 0.1590  4 O 1.68-1.74
14 As 0.0463 0.9756 0.6590  4 O 1.68-1.74
15 As 0.4347 0.5251 0.5909  4 O 1.68-1.77
16 As 0.4347 0.9749 0.0909  4 O 1.68-1.77
17 As 0.5653 0.0251 0.9091  4 O 1.68-1.77
18 As 0.5653 0.4749 0.4091  4 O 1.68-1.77
19 As 0.9537 0.0244 0.3410  4 O 1.68-1.74
20 As 0.9537 0.4756 0.8410  4 O 1.68-1.74
21 O 0.0200 0.6289 0.6429  1 As 1.74
22 O 0.0200 0.8711 0.1429  1 As 1.74
23 O 0.1069 0.1261 0.5881  1 As 1.68
24 O 0.1069 0.3739 0.0881  1 As 1.68
25 O 0.1335 0.5957 0.8414  1 As 1.71
26 O 0.1335 0.9043 0.3414  1 As 1.71
27 O 0.2080 0.0247 0.7619  1 As 1.74
28 O 0.2080 0.4753 0.2619  1 As 1.74
29 O 0.2523 0.5776 0.5029  1 As 1.70
30 O 0.2523 0.9224 0.0029  1 As 1.70
31 O 0.4105 0.2230 0.9203  1 As 1.77, 1 Ni 1.85
32 O 0.4105 0.2770 0.4203  1 As 1.77, 1 Ni 1.85
33 O 0.4328 0.6219 0.6863  1 As 1.68
34 O 0.4328 0.8781 0.1863  1 As 1.68
35 O 0.4792 0.7054 0.9027  1 As 1.74, 1 Ni 1.87
36 O 0.4792 0.7946 0.4027  1 As 1.74, 1 Ni 1.87
37 O 0.5208 0.2054 0.5973  1 As 1.74, 1 Ni 1.87
38 O 0.5208 0.2946 0.0973  1 As 1.74, 1 Ni 1.87
39 O 0.5672 0.1219 0.8137  1 As 1.68
40 O 0.5672 0.3781 0.3137  1 As 1.68
41 O 0.5895 0.7230 0.5797  1 As 1.77, 1 Ni 1.85
42 O 0.5895 0.7770 0.0797  1 As 1.77, 1 Ni 1.85
43 O 0.7477 0.0776 0.9971  1 As 1.70
44 O 0.7477 0.4224 0.4971  1 As 1.70
45 O 0.7920 0.5247 0.7381  1 As 1.74
46 O 0.7920 0.9753 0.2381  1 As 1.74
47 O 0.8665 0.0957 0.6586  1 As 1.71
48 O 0.8665 0.4043 0.1587  1 As 1.71
49 O 0.8931 0.6261 0.9119  1 As 1.68
50 O 0.8931 0.8739 0.4119  1 As 1.68
51 O 0.9800 0.1289 0.8571  1 As 1.74
52 O 0.9800 0.3711 0.3571  1 As 1.74

## Properties
Symmetry ... P2_1/c (14)
Formation energy without anion corrections ... -1.600 eV/atom

CaNiAs2Se | GGA-PBEsol | optimized geometry

Cell lengths 4.5001, 4.5001, 5.1524 Å; angles 90.00, 90.00, 90.00 degrees
Last column: nearest neighbours and their distance in Å.
Element x y z (fractional)
1 Ca 0.0000 0.0000 0.0000  4 Se 3.18, 8 As 3.42
2 Ni 0.5000 0.5000 0.5000  4 As 2.25
3 As 0.0000 0.5000 0.5000  2 Ni 2.25
4 As 0.5000 0.0000 0.5000  2 Ni 2.25
5 Se 0.5000 0.5000 0.0000  2 Ni 2.58

## Properties
Symmetry ... P4/mmm (123)
Formation energy without anion corrections ... -0.328 eV/atom

Ca2As2O7 | GGA-PBEsol | optimized geometry

Cell lengths 5.8537, 5.8537, 4.9233 Å; angles 96.90, 96.90, 105.98 degrees
Last column: nearest neighbours and their distance in Å.
Element x y z (fractional)
1 Ca 0.1936 0.8064 0.0000  6 O 2.30-2.37
2 Ca 0.8064 0.1936 0.0000  6 O 2.30-2.37
3 As 0.2716 0.2716 0.5929  4 O 1.69-1.76
4 As 0.7284 0.7284 0.4071  4 O 1.69-1.76
5 O 0.1139 0.1139 0.2850  1 As 1.69
6 O 0.1136 0.4163 0.7795  1 As 1.69
7 O 0.4163 0.1136 0.7795  1 As 1.69
8 O 0.5000 0.5000 0.5000  2 As 1.76
9 O 0.5837 0.8864 0.2205  1 As 1.69
10 O 0.8864 0.5837 0.2205  1 As 1.69
11 O 0.8861 0.8861 0.7150  1 As 1.69

## Properties
Symmetry ... C2/m (12)
Formation energy without anion corrections ... -2.071 eV/atom

Ca3As2O8 | GGA-PBEsol | optimized geometry

Cell lengths 14.0408, 14.0408, 14.0408 Å; angles 45.13, 45.13, 45.13 degrees
Last column: nearest neighbours and their distance in Å.
Element x y z (fractional)
1 Ca 0.0000 0.0000 0.0000  6 O 2.25-2.29
2 Ca 0.0623 0.4418 0.4655  7 O 2.39-2.64
3 Ca 0.0686 0.0690 0.6555  6 O 2.28-2.50
4 Ca 0.0690 0.6555 0.0686  6 O 2.28-2.50
5 Ca 0.1558 0.5671 0.5681  7 O 2.30-2.50
6 Ca 0.3483 0.9046 0.9468  6 O 2.31-2.58
7 Ca 0.4068 0.8483 0.4393  6 O 2.35-2.48
8 Ca 0.4393 0.4068 0.8483  6 O 2.35-2.48
9 Ca 0.4418 0.4655 0.0623  7 O 2.39-2.64
10 Ca 0.4655 0.0623 0.4418  7 O 2.39-2.64
11 Ca 0.4988 0.4988 0.4988  6 O 2.28-2.31
12 Ca 0.5420 0.9943 0.9473  6 O 2.34-2.53
13 Ca 0.5671 0.5681 0.1558  7 O 2.30-2.50
14 Ca 0.5681 0.1558 0.5671  7 O 2.30-2.50
15 Ca 0.6555 0.0686 0.0690  6 O 2.28-2.50
16 Ca 0.6917 0.6917 0.6917  6 O 2.39-2.67
17 Ca 0.8483 0.4393 0.4068  6 O 2.35-2.48
18 Ca 0.9046 0.9468 0.3483  6 O 2.31-2.58
19 Ca 0.9468 0.3483 0.9046  6 O 2.31-2.58
20 Ca 0.9473 0.5420 0.9943  6 O 2.34-2.53
21 Ca 0.9943 0.9473 0.5420  6 O 2.34-2.53
22 As 0.1812 0.6849 0.2287  4 O 1.70-1.71
23 As 0.1840 0.6822 0.7279  4 O 1.70-1.71
24 As 0.2287 0.1812 0.6849  4 O 1.70-1.71
25 As 0.2668 0.2668 0.2668  4 O 1.71-1.73
26 As 0.2725 0.8212 0.3057  4 O 1.70-1.73
27 As 0.3057 0.2725 0.8212  4 O 1.70-1.73
28 As 0.3351 0.7644 0.8016  4 O 1.69-1.73
29 As 0.6822 0.7279 0.1840  4 O 1.70-1.71
30 As 0.6849 0.2287 0.1812  4 O 1.70-1.71
31 As 0.7279 0.1840 0.6822  4 O 1.70-1.71
32 As 0.7644 0.8016 0.3351  4 O 1.69-1.73
33 As 0.7686 0.7686 0.7686  4 O 1.69-1.73
34 As 0.8016 0.3351 0.7644  4 O 1.69-1.73
35 As 0.8212 0.3057 0.2725  4 O 1.70-1.73
36 O 0.0734 0.6375 0.4139  1 As 1.71
37 O 0.0967 0.8344 0.3976  1 As 1.73
38 O 0.0977 0.4043 0.2633  1 As 1.71
39 O 0.1127 0.6711 0.6775  1 As 1.70
40 O 0.1148 0.8735 0.1421  1 As 1.71
41 O 0.1181 0.3516 0.8950  1 As 1.70
42 O 0.1177 0.8652 0.6722  1 As 1.70
43 O 0.1403 0.5745 0.9127  1 As 1.71
44 O 0.1421 0.1148 0.8735  1 As 1.71
45 O 0.1489 0.8749 0.8628  1 As 1.72
46 O 0.1631 0.3654 0.6218  1 As 1.70
47 O 0.1671 0.6119 0.1826  1 As 1.71
48 O 0.1826 0.1671 0.6119  1 As 1.71
49 O 0.2569 0.8918 0.3788  1 As 1.70
50 O 0.2633 0.0977 0.4043  1 As 1.71
51 O 0.3127 0.3127 0.3127  1 As 1.73
52 O 0.3309 0.5955 0.9048  1 As 1.72
53 O 0.3516 0.8950 0.1181  1 As 1.70
54 O 0.3652 0.3728 0.6324  1 As 1.72
55 O 0.3654 0.6218 0.1631  1 As 1.70
56 O 0.3725 0.6155 0.6411  1 As 1.71
57 O 0.3728 0.6324 0.3652  1 As 1.72
58 O 0.3788 0.2569 0.8918  1 As 1.70
59 O 0.3976 0.0967 0.8344  1 As 1.73
60 O 0.4043 0.2633 0.0977  1 As 1.71
61 O 0.4110 0.8368 0.6148  1 As 1.69
62 O 0.4139 0.0734 0.6375  1 As 1.71
63 O 0.4362 0.7405 0.8509  1 As 1.73
64 O 0.5745 0.9127 0.1403  1 As 1.71
65 O 0.5955 0.9048 0.3309  1 As 1.72
66 O 0.6052 0.7471 0.8952  1 As 1.73
67 O 0.6119 0.1826 0.1671  1 As 1.71
68 O 0.6148 0.4110 0.8368  1 As 1.69
69 O 0.6155 0.6411 0.3725  1 As 1.71
70 O 0.6218 0.1631 0.3654  1 As 1.70
71 O 0.6324 0.3652 0.3728  1 As 1.72
72 O 0.6375 0.4139 0.0734  1 As 1.71
73 O 0.6411 0.3725 0.6155  1 As 1.71
74 O 0.6711 0.6775 0.1127  1 As 1.70
75 O 0.6722 0.1177 0.8652  1 As 1.70
76 O 0.6775 0.1127 0.6711  1 As 1.70
77 O 0.7405 0.8509 0.4362  1 As 1.73
78 O 0.7471 0.8952 0.6052  1 As 1.73
79 O 0.8134 0.8134 0.8134  1 As 1.69
80 O 0.8344 0.3976 0.0967  1 As 1.73
81 O 0.8368 0.6148 0.4110  1 As 1.69
82 O 0.8509 0.4362 0.7405  1 As 1.73
83 O 0.8628 0.1489 0.8749  1 As 1.72
84 O 0.8652 0.6722 0.1177  1 As 1.70
85 O 0.8735 0.1421 0.1148  1 As 1.71
86 O 0.8749 0.8628 0.1489  1 As 1.72
87 O 0.8918 0.3788 0.2569  1 As 1.70
88 O 0.8950 0.1181 0.3516  1 As 1.70
89 O 0.8952 0.6052 0.7471  1 As 1.73
90 O 0.9048 0.3309 0.5955  1 As 1.72
91 O 0.9127 0.1403 0.5745  1 As 1.71

## Properties
Symmetry ... R3 (146)
Formation energy without anion corrections ... -2.290 eV/atom

Ca4As2O | GGA-PBEsol | optimized geometry

Cell lengths 8.2775, 8.2775, 8.2775 Å; angles 148.40, 148.40, 45.29 degrees
Last column: nearest neighbours and their distance in Å.
Element x y z (fractional)
1 Ca 0.0000 0.5000 0.5000  2 O 2.25
2 Ca 0.1712 0.1712 0.0000  1 O 2.62, 1 As 2.93
3 Ca 0.5000 0.0000 0.5000  2 O 2.25
4 Ca 0.8288 0.8288 0.0000  1 O 2.62, 1 As 2.93
5 As 0.3630 0.3630 0.0000  9 Ca 2.93-3.23
6 As 0.6370 0.6370 0.0000  9 Ca 2.93-3.23
7 O 0.0000 0.0000 0.0000  4 Ca 2.25

## Properties
Symmetry ... I4/mmm (139)
Formation energy without anion corrections ... -1.747 eV/atom

CaSbAsO5 | GGA-PBEsol | optimized geometry

Cell lengths 7.2471, 7.6424, 8.5120 Å; angles 90.00, 90.00, 90.00 degrees
Last column: nearest neighbours and their distance in Å.
Element x y z (fractional)
1 Ca 0.0063 0.1404 0.1040  6 O 2.36-2.52
2 Ca 0.4937 0.8596 0.6040  6 O 2.36-2.52
3 Ca 0.5063 0.3596 0.8960  6 O 2.36-2.52
4 Ca 0.9937 0.6404 0.3960  6 O 2.36-2.52
5 Sb 0.2076 0.2327 0.4531  2 O 1.93-2.09
6 Sb 0.2924 0.7673 0.9531  2 O 1.93-2.09
7 Sb 0.7076 0.2673 0.5469  2 O 1.93-2.09
8 Sb 0.7924 0.7327 0.0469  2 O 1.93-2.09
9 As 0.0424 0.4182 0.7949  4 O 1.70-1.74
10 As 0.4576 0.5818 0.2949  4 O 1.70-1.74
11 As 0.5424 0.0818 0.2051  4 O 1.70-1.74
12 As 0.9576 0.9182 0.7051  4 O 1.70-1.74
13 O 0.0343 0.3432 0.3115  1 Sb 1.93
14 O 0.0639 0.6115 0.9011  1 As 1.74
15 O 0.1233 0.4508 0.6066  1 As 1.72
16 O 0.1722 0.2690 0.8925  1 As 1.70
17 O 0.1887 0.8784 0.7047  1 As 1.70
18 O 0.3113 0.1216 0.2047  1 As 1.70
19 O 0.3278 0.7310 0.3925  1 As 1.70
20 O 0.3767 0.5492 0.1066  1 As 1.72
21 O 0.4361 0.3885 0.4011  1 As 1.74
22 O 0.4657 0.6568 0.8115  1 Sb 1.93
23 O 0.5343 0.1568 0.6885  1 Sb 1.93
24 O 0.5639 0.8885 0.0989  1 As 1.74
25 O 0.6233 0.0492 0.3934  1 As 1.72
26 O 0.6722 0.2310 0.1075  1 As 1.70
27 O 0.6887 0.6216 0.2953  1 As 1.70
28 O 0.8113 0.3784 0.7953  1 As 1.70
29 O 0.8278 0.7690 0.6075  1 As 1.70
30 O 0.8767 0.9508 0.8934  1 As 1.72
31 O 0.9361 0.1115 0.5989  1 As 1.74
32 O 0.9657 0.8432 0.1885  1 Sb 1.93

## Properties
Symmetry ... P2_12_12_1 (19)
Formation energy without anion corrections ... -1.770 eV/atom

CaTiAs2O7 | GGA-PBEsol | optimized geometry

Cell lengths 8.1268, 8.2224, 10.1169 Å; angles 90.00, 119.11, 90.00 degrees
Last column: nearest neighbours and their distance in Å.
Element x y z (fractional)
1 Ca 0.2486 0.0346 0.0922  5 O 2.25-2.46
2 Ca 0.2486 0.4654 0.5922  5 O 2.25-2.46
3 Ca 0.7514 0.5346 0.4078  5 O 2.25-2.46
4 Ca 0.7514 0.9654 0.9078  5 O 2.25-2.46
5 Ti 0.2759 0.0785 0.6879  3 O 1.71-1.92
6 Ti 0.2759 0.4215 0.1879  3 O 1.71-1.92
7 Ti 0.7241 0.5785 0.8121  3 O 1.71-1.92
8 Ti 0.7241 0.9215 0.3121  3 O 1.71-1.92
9 As 0.0167 0.7146 0.2233  4 O 1.69-1.78
10 As 0.0167 0.7854 0.7233  4 O 1.69-1.78
11 As 0.4331 0.6942 0.0226  3 O 1.79-1.89
12 As 0.4331 0.8058 0.5226  3 O 1.79-1.89
13 As 0.5669 0.1942 0.4774  3 O 1.79-1.89
14 As 0.5669 0.3058 0.9774  3 O 1.79-1.89
15 As 0.9833 0.2146 0.2767  4 O 1.69-1.78
16 As 0.9833 0.2854 0.7767  4 O 1.69-1.78
17 O 0.0409 0.6186 0.6365  1 As 1.69
18 O 0.0409 0.8814 0.1365  1 As 1.69
19 O 0.0490 0.5369 0.1505  1 As 1.71
20 O 0.0490 0.9631 0.6505  1 As 1.71
21 O 0.1748 0.2134 0.2493  1 As 1.71
22 O 0.1748 0.2866 0.7493  1 As 1.71
23 O 0.1960 0.7024 0.4152  2 As 1.78-1.89
24 O 0.1960 0.7976 0.9152  2 As 1.78-1.89
25 O 0.2824 0.2013 0.5534  1 Ti 1.71
26 O 0.2824 0.2987 0.0534  1 Ti 1.71
27 O 0.4142 0.6052 0.1763  1 As 1.79, 1 Ti 1.92
28 O 0.4142 0.8948 0.6763  1 As 1.79, 1 Ti 1.92
29 O 0.4864 0.1138 0.8832  1 As 1.80, 1 Ti 1.90
30 O 0.4864 0.3862 0.3832  1 As 1.80, 1 Ti 1.90
31 O 0.5136 0.6138 0.6168  1 As 1.80, 1 Ti 1.90
32 O 0.5136 0.8862 0.1168  1 As 1.80, 1 Ti 1.90
33 O 0.5858 0.1052 0.3237  1 As 1.79, 1 Ti 1.92
34 O 0.5858 0.3948 0.8237  1 As 1.79, 1 Ti 1.92
35 O 0.7176 0.7013 0.9466  1 Ti 1.71
36 O 0.7176 0.7987 0.4466  1 Ti 1.71
37 O 0.8040 0.2024 0.0848  2 As 1.78-1.89
38 O 0.8040 0.2976 0.5848  2 As 1.78-1.89
39 O 0.8252 0.7134 0.2507  1 As 1.71
40 O 0.8252 0.7866 0.7507  1 As 1.71
41 O 0.9510 0.0369 0.3495  1 As 1.71
42 O 0.9510 0.4631 0.8495  1 As 1.71
43 O 0.9591 0.1186 0.8635  1 As 1.69
44 O 0.9591 0.3814 0.3635  1 As 1.69

## Properties
Symmetry ... P2_1/c (14)
Formation energy without anion corrections ... -2.067 eV/atom

CaVAsO5 | GGA-PBEsol | optimized geometry

Cell lengths 5.7672, 8.9817, 7.5280 Å; angles 90.00, 90.14, 90.00 degrees
Last column: nearest neighbours and their distance in Å.
Element x y z (fractional)
1 Ca 0.2217 0.0000 0.3247  5 O 2.26-2.53
2 Ca 0.2744 0.1643 0.8160  6 O 2.30-2.55
3 Ca 0.7256 0.6643 0.1840  6 O 2.30-2.55
4 Ca 0.7783 0.5000 0.6753  5 O 2.26-2.53
5 V 0.0154 0.3394 0.2455  6 O 1.87-2.09
6 V 0.4905 0.3300 0.2521  6 O 1.88-2.09
7 V 0.5095 0.8300 0.7479  6 O 1.88-2.09
8 V 0.9846 0.8394 0.7545  6 O 1.87-2.09
9 As 0.2348 0.5464 0.9099  4 O 1.71-1.75
10 As 0.2685 0.6269 0.4189  4 O 1.70-1.74
11 As 0.7315 0.1269 0.5811  4 O 1.70-1.74
12 As 0.7652 0.0464 0.0901  4 O 1.71-1.75
13 O 0.0064 0.5358 0.3922  1 As 1.73
14 O 0.0114 0.1574 0.0766  1 As 1.74
15 O 0.1694 0.4151 0.7539  1 As 1.71
16 O 0.2454 0.2458 0.3861  2 V 1.89-1.90
17 O 0.2445 0.7260 0.6162  1 As 1.74
18 O 0.2524 0.9117 0.8649  2 V 1.87-1.88
19 O 0.2574 0.4454 0.1085  1 As 1.75
20 O 0.3335 0.7540 0.2588  1 As 1.70
21 O 0.4953 0.0088 0.5747  1 As 1.73
22 O 0.4954 0.1324 0.1068  1 As 1.74
23 O 0.5047 0.5088 0.4253  1 As 1.73
24 O 0.5046 0.6324 0.8932  1 As 1.74
25 O 0.6665 0.2540 0.7412  1 As 1.70
26 O 0.7426 0.9454 0.8915  1 As 1.75
27 O 0.7476 0.4117 0.1351  2 V 1.87-1.88
28 O 0.7555 0.2260 0.3838  1 As 1.74
29 O 0.7546 0.7458 0.6139  2 V 1.89-1.90
30 O 0.8306 0.9151 0.2461  1 As 1.71
31 O 0.9886 0.6574 0.9234  1 As 1.74
32 O 0.9936 0.0358 0.6078  1 As 1.73

## Properties
Symmetry ... P2_1 (4)
Formation energy without anion corrections ... -2.096 eV/atom